1.
NaPaAg2Se4 | PBE | relaxed

## Properties
energy relative to the elements, uncorrected	-6.38	eV per formula unit
total moment	0.23	μB/cell
uncorrected energy	-4.6041	eV per atom

The structure in CIF format:
```
data_NaPaAg2Se4
_chemical_formula_sum 'Na2 Pa2 Ag4 Se8'
_cell_length_a 5.726
_cell_length_b 5.726
_cell_length_c 11.672
_cell_angle_alpha 90.00
_cell_angle_beta 90.00
_cell_angle_gamma 90.00
_space_group_name_H-M_alt 'I -4 m 2'
_space_group_IT_number 119
_space_group_name_Hall 'I -4 -2'
loop_
_atom_site_label
_atom_site_type_symbol
_atom_site_fract_x
_atom_site_fract_y
_atom_site_fract_z
Na1 Na 0.000 0.000 0.000
Pa1 Pa 0.000 0.500 0.750
Ag1 Ag 0.000 0.000 0.500
Ag2 Ag 0.000 0.500 0.250
Se1 Se 0.000 0.000 0.250
Se2 Se 0.000 0.500 0.517
```

=====

2.
Th2MnGe4Rh3 | PBE | relaxed

## Properties
total moment	2.65	μB/cell
uncorrected energy	-7.2237	eV per atom
energy of formation	-0.7704	eV/atom

The structure in CIF format:
```
data_Th2MnGe4Rh3
_chemical_formula_sum 'Th2 Mn1 Ge4 Rh3'
_cell_length_a 4.216
_cell_length_b 4.216
_cell_length_c 10.397
_cell_angle_alpha 90.00
_cell_angle_beta 90.00
_cell_angle_gamma 90.00
_space_group_name_H-M_alt 'P -4 m 2'
_space_group_IT_number 115
_space_group_name_Hall 'P -4 -2'
loop_
_atom_site_label
_atom_site_type_symbol
_atom_site_fract_x
_atom_site_fract_y
_atom_site_fract_z
Th1 Th 0.000 0.500 0.246
Mn1 Mn 0.000 0.000 0.500
Ge1 Ge 0.000 0.000 0.000
Ge2 Ge 0.000 0.500 0.634
Ge3 Ge 0.500 0.500 0.000
Rh1 Rh 0.000 0.500 0.872
Rh2 Rh 0.500 0.500 0.500
```

=====

3.
LaPmSm3 | PBE | relaxed

## Properties
total moment	0.00	μB/cell
uncorrected energy	-4.7518	eV per atom
energy of formation	0.0153	eV/atom

The structure in CIF format:
```
data_LaPmSm3
_chemical_formula_sum 'La4 Pm4 Sm12'
_cell_length_a 10.336
_cell_length_b 3.663
_cell_length_c 18.287
_cell_angle_alpha 90.00
_cell_angle_beta 90.00
_cell_angle_gamma 90.00
_space_group_name_H-M_alt 'P n m a'
_space_group_IT_number 62
_space_group_name_Hall '-P 2ac 2n'
loop_
_atom_site_label
_atom_site_type_symbol
_atom_site_fract_x
_atom_site_fract_y
_atom_site_fract_z
La1 La 0.126 0.250 0.050
Pm1 Pm 0.123 0.250 0.651
Sm1 Sm 0.123 0.250 0.449
Sm2 Sm 0.125 0.250 0.250
Sm3 Sm 0.126 0.250 0.849
```

=====

4.
Nb3GaPb | PBE | relaxed

## Properties
total moment	0.00	μB/cell
uncorrected energy	-6.5023	eV per atom
energy of formation	0.8866	eV/atom

The structure in CIF format:
```
data_Nb3GaPb
_chemical_formula_sum 'Nb3 Ga1 Pb1'
_cell_length_a 4.803
_cell_length_b 4.803
_cell_length_c 4.803
_cell_angle_alpha 90.00
_cell_angle_beta 90.00
_cell_angle_gamma 90.00
_space_group_name_H-M_alt 'P m -3 m'
_space_group_IT_number 221
_space_group_name_Hall '-P 4 2 3'
loop_
_atom_site_label
_atom_site_type_symbol
_atom_site_fract_x
_atom_site_fract_y
_atom_site_fract_z
Nb1 Nb 0.000 0.000 0.500
Ga1 Ga 0.000 0.000 0.000
Pb1 Pb 0.500 0.500 0.500
```

=====

Q: Number 3 is which compound?
A: LaPmSm3

=====

Q: What is the uncorrected energy in the fourth record?
A: -6.5023 eV per atom

=====

Q: Which value of total moment does entry 3 give?
A: 0.00 μB/cell